1.
2
Lattice="3.575 0.000 0.000 -1.787 3.096 0.000 0.000 0.000 5.549" Properties=species:S:1:pos:R:3 comment="DyTm | OQMD via LeMat-Bulk | GGA-PBE | relaxed" e_form_ev_per_atom=0.0057 magmom_total_mub_per_fu=0.01 pbc="T T T"
Dy 1.787 1.032 4.162
Tm 0.000 2.064 1.387

=====

2.
2
Lattice="0.000 3.210 3.210 3.210 0.000 3.210 3.210 3.210 0.000" Properties=species:S:1:pos:R:3 comment="DyTm | OQMD via LeMat-Bulk | GGA-PBE | relaxed" e_form_ev_per_atom=0.8106 magmom_total_mub_per_fu=0.83 pbc="T T T"
Dy 0.000 0.000 0.000
Tm 3.210 3.210 3.210

=====

3.
8
Lattice="-2.681 4.773 0.950 4.798 1.693 5.036 5.895 3.661 -1.760" Properties=species:S:1:pos:R:3 comment="DyTm | OQMD via LeMat-Bulk | GGA-PBE | relaxed" e_form_ev_per_atom=0.0039 magmom_total_mub_per_fu=0.02 pbc="T T T"
Dy 3.561 1.783 1.091
Dy 5.965 2.631 3.613
Dy 5.789 5.957 2.659
Dy 6.514 3.617 0.209
Tm 2.841 4.125 3.542
Tm 0.438 3.277 1.020
Tm 3.390 5.111 0.137
Tm 8.912 4.462 2.730

=====

4.
2
Lattice="2.292 -3.556 -2.622 -1.654 -4.691 0.191 -2.246 -2.011 -3.961" Properties=species:S:1:pos:R:3 comment="DyTm | OQMD via LeMat-Bulk | GGA-PBE | relaxed" e_form_ev_per_atom=1.9888 magmom_total_mub_per_fu=0.00 pbc="T T T"
Dy 0.000 0.000 0.000
Tm -0.402 -2.564 -1.598

=====

5.
8
Lattice="5.647 0.000 0.000 0.000 3.623 6.276 0.000 -3.623 6.276" Properties=species:S:1:pos:R:3 comment="Dy2Y5Tm | OQMD via LeMat-Bulk | GGA-PBE | relaxed" e_form_ev_per_atom=0.0040 magmom_total_mub_per_fu=0.12 pbc="T T T"
Dy 2.824 0.000 4.182
Dy 0.000 0.000 8.369
Tm 0.000 0.000 2.090
Y 0.000 1.814 5.231
Y 2.824 1.815 7.322
Y 0.000 -1.814 5.231
Y 2.824 0.000 10.463
Y 2.824 -1.815 7.322

=====

6.
8
Lattice="3.597 -6.229 0.000 3.597 6.229 0.000 0.000 0.000 5.575" Properties=species:S:1:pos:R:3 comment="DyYTm2 | OQMD via LeMat-Bulk | GGA-PBE | relaxed" e_form_ev_per_atom=0.0029 magmom_total_mub_per_fu=0.03 pbc="T T T"
Dy 3.597 -2.068 1.394
Dy 3.597 2.068 4.181
Tm 1.801 1.032 1.394
Tm 5.393 1.032 1.394
Tm 1.801 -1.032 4.181
Tm 5.393 -1.032 4.181
Y 3.597 4.158 1.394
Y 3.597 -4.158 4.181

=====

7.
8
Lattice="5.579 0.000 0.000 0.000 3.581 6.202 0.000 -3.581 6.202" Properties=species:S:1:pos:R:3 comment="Dy2YTm5 | OQMD via LeMat-Bulk | GGA-PBE | relaxed" e_form_ev_per_atom=0.0023 magmom_total_mub_per_fu=0.03 pbc="T T T"
Dy 0.000 0.000 4.135
Dy 2.790 0.000 8.267
Tm 2.790 0.000 2.062
Tm 2.790 1.794 5.172
Tm 0.000 1.795 7.232
Tm 2.790 -1.794 5.172
Tm 0.000 -1.795 7.232
Y 0.000 0.000 10.341

=====

8.
8
Lattice="5.581 0.000 0.000 0.000 6.227 3.596 0.000 -6.227 3.596" Properties=species:S:1:pos:R:3 comment="DyYTm2 | OQMD via LeMat-Bulk | GGA-PBE | relaxed" e_form_ev_per_atom=0.0036 magmom_total_mub_per_fu=0.02 pbc="T T T"
Dy 4.186 2.079 3.598
Dy 1.395 -2.079 3.598
Tm 1.395 4.154 3.593
Tm 1.395 1.037 5.398
Tm 4.186 -4.154 3.593
Tm 4.186 -1.037 5.398
Y 1.395 1.039 1.793
Y 4.186 -1.039 1.793